# GGA-PBE Ac3Si2I2, relaxed
data_Ac3Si2I2
_chemical_formula_sum 'Ac3 Si2 I2'
_cell_length_a 4.527
_cell_length_b 7.814
_cell_length_c 8.768
_cell_angle_alpha 79.61
_cell_angle_beta 89.75
_cell_angle_gamma 73.79
_space_group_name_H-M_alt 'P -1'
_space_group_IT_number 2
loop_
_space_group_symop_operation_xyz
'x,y,z'
'-x,-y,-z'
loop_
_atom_site_label
_atom_site_type_symbol
_atom_site_fract_x
_atom_site_fract_y
_atom_site_fract_z
Ac1 Ac 0.000 0.000 0.000
Ac2 Ac 0.227 0.540 0.774
Si1 Si 0.371 0.261 0.080
I1 I 0.132 0.743 0.375
# D(E_F): 6.138 states/eV per cell
# final energy: -4.500 eV/atom
# raw formation energy: -0.747 eV/atom